Entry 1:
{"formula": "KTa2Se", "functional": "PBE", "state": "relaxed", "energy_ev_per_atom": -6.709, "raw_formation_energy_mev_per_atom": 363, "dos_ef_per_ev_cell": 3.40, "lattice_angstrom": [[4.441, -1.592, 0.000], [4.441, 1.592, 0.000], [-1.228, 0.000, 7.484]], "species": ["K", "Ta", "Ta", "Se"], "fractional_positions": [[0.000, 0.000, 0.000], [0.208, 0.208, 0.639], [0.471, 0.471, 0.483], [0.739, 0.739, 0.351]]}



Entry 2:
{"formula": "EuAsH", "functional": "PBE", "state": "relaxed", "energy_ev_per_atom": -6.689, "dos_ef_per_ev_cell": 9.61, "lattice_angstrom": [[-2.171, 2.171, 3.493], [2.171, -2.171, 3.493], [2.171, 2.171, -3.493]], "species": ["Eu", "As", "H"], "fractional_positions": [[0.000, 0.000, 0.000], [0.574, 0.574, 0.000], [0.351, 0.351, 0.000]]}



Entry 3:
{"formula": "CaAcGd", "functional": "PBE", "state": "relaxed", "e_form_mev_per_atom": 95, "energy_ev_per_atom": -6.635, "dos_ef_per_ev_cell": 5.72, "lattice_angstrom": [[6.059, 0.000, 0.000], [-3.030, 5.247, 0.000], [0.000, 0.000, 3.666]], "species": ["Ca", "Ac", "Gd"], "fractional_positions": [[0.000, 0.000, 0.000], [0.333, 0.667, 0.500], [0.667, 0.333, 0.000]]}



Entry 4:
{"formula": "K4OsRh3Se8", "functional": "PBE", "state": "relaxed", "energy_ev_per_atom": -4.719, "raw_formation_energy_mev_per_atom": -622, "dos_ef_per_ev_cell": 6.95, "lattice_angstrom": [[3.910, 2.258, 7.077], [-3.910, 2.258, 7.077], [0.000, -4.515, 7.077]], "species": ["K", "K", "K", "K", "Os", "Rh", "Rh", "Rh", "Se", "Se", "Se", "Se", "Se", "Se", "Se", "Se"], "fractional_positions": [[0.000, 0.000, 0.000], [0.000, 0.500, 0.500], [0.500, 0.000, 0.500], [0.500, 0.500, 0.000], [0.500, 0.500, 0.500], [0.000, 0.000, 0.500], [0.000, 0.500, 0.000], [0.500, 0.000, 0.000], [0.223, 0.223, 0.223], [0.224, 0.722, 0.722], [0.278, 0.278, 0.776], [0.278, 0.776, 0.278], [0.722, 0.224, 0.722], [0.722, 0.722, 0.224], [0.776, 0.278, 0.278], [0.777, 0.777, 0.777]]}



Entry 5:
{"formula": "CsGe3H", "functional": "PBE", "state": "relaxed", "energy_ev_per_atom": -1.410, "dos_ef_per_ev_cell": 7.03, "lattice_angstrom": [[5.999, 0.000, 0.000], [0.000, 5.999, 0.000], [0.000, 0.000, 5.999]], "species": ["Cs", "Ge", "Ge", "Ge", "H"], "fractional_positions": [[0.000, 0.000, 0.000], [0.000, 0.000, 0.500], [0.000, 0.500, 0.000], [0.500, 0.000, 0.000], [0.500, 0.500, 0.500]]}



Entry 6:
{"formula": "NbTl3O6", "functional": "PBE", "state": "relaxed", "energy_ev_per_atom": -5.902, "raw_formation_energy_mev_per_atom": -1210, "dos_ef_per_ev_cell": 6.27, "lattice_angstrom": [[4.872, -5.722, 0.000], [4.872, 5.722, 0.000], [0.000, 0.000, 6.060]], "species": ["Nb", "Nb", "Tl", "Tl", "Tl", "Tl", "Tl", "Tl", "O", "O", "O", "O", "O", "O", "O", "O", "O", "O", "O", "O"], "fractional_positions": [[0.163, 0.837, 0.500], [0.837, 0.163, 0.000], [0.102, 0.331, 0.513], [0.331, 0.102, 0.013], [0.421, 0.579, 0.056], [0.579, 0.421, 0.556], [0.669, 0.898, 0.513], [0.898, 0.669, 0.013], [0.000, 0.000, 0.462], [0.000, 0.000, 0.962], [0.054, 0.634, 0.657], [0.237, 0.763, 0.215], [0.332, 0.360, 0.793], [0.360, 0.332, 0.293], [0.366, 0.946, 0.657], [0.634, 0.054, 0.157], [0.640, 0.668, 0.793], [0.668, 0.640, 0.293], [0.763, 0.237, 0.715], [0.946, 0.366, 0.157]]}



Entry 7:
{"formula": "TmBi2Pt", "functional": "PBE", "state": "relaxed", "e_form_mev_per_atom": -27, "energy_ev_per_atom": -4.595, "dos_ef_per_ev_cell": 3.15, "lattice_angstrom": [[1.849, 1.068, 9.928], [-1.849, 1.068, 9.928], [0.000, -2.135, 9.928]], "species": ["Tm", "Bi", "Bi", "Pt"], "fractional_positions": [[0.000, 0.000, 0.000], [0.105, 0.105, 0.105], [0.895, 0.895, 0.895], [0.500, 0.500, 0.500]]}



Entry 8:
{"formula": "MnGeCN", "functional": "PBE", "state": "relaxed", "energy_ev_per_atom": -7.452, "raw_formation_energy_mev_per_atom": 382, "dos_ef_per_ev_cell": 1.91, "lattice_angstrom": [[3.806, 0.000, 0.000], [0.000, 2.675, 0.000], [-0.407, 0.000, 4.457]], "species": ["Mn", "Ge", "C", "N"], "fractional_positions": [[0.000, 0.000, 0.000], [0.926, 0.500, 0.453], [0.646, 0.500, 0.822], [0.292, 0.500, 0.813]]}